Entry 1:
A plane-wave DFT calculation with GGA-PBE was carried out for an optimized crystal structure of AcNd6Te8.

The structure in extended XYZ format:
```
15
Lattice="-7.1774 -5.3877 -0.6586 -5.5458 -0.9847 7.0179 -8.2705 3.5359 -0.2702" Properties=species:S:1:pos:R:3 pbc="T T T"
Nd -3.5887 -2.6938 -0.3293
Nd -7.7239 -0.9259 -0.4644
Nd -6.9081 1.2756 3.3739
Nd -6.3616 -3.1862 3.1797
Nd -2.7729 -0.4924 3.5089
Nd -4.1352 1.7680 -0.1351
Te -5.2484 -0.7091 1.5223
Te -12.8411 -1.6235 1.1633
Te -11.5510 -3.7640 4.6141
Te -15.7452 -2.1274 4.5669
Te -12.0685 0.4612 4.7980
Te -9.4427 0.9275 1.4751
Te -8.1525 -1.2130 4.9259
Te -8.9251 -3.2977 1.2912
Ac 0.0000 0.0000 0.0000
```

Summary:
For the magnetization, the calculation gives 0.000 μB per atom. The calculation puts the total energy at -5.318 eV/atom. Its symmetry is Fm-3m (225). The raw formation energy comes out at -1.4615 eV/atom. The calculation puts the density of states at the Fermi level at 7.4 states/eV/f.u.


Entry 2:
A plane-wave DFT calculation with GGA-PBE was carried out for an optimized crystal structure of PtPbI2.

The structure in extended XYZ format:
```
4
Lattice="0.0000 3.8303 3.8303 3.8303 0.0000 3.8303 3.8303 3.8303 0.0000" Properties=species:S:1:pos:R:3 pbc="T T T"
I 5.7455 5.7455 5.7455
I 1.9152 1.9152 1.9152
Pt 0.0000 0.0000 0.0000
Pb 3.8303 3.8303 3.8303
```

Summary:
For the magnetization, the calculation gives 0.000 μB per atom. The calculation puts the total energy at -2.873 eV/atom. Its symmetry is Fm-3m (225). The raw formation energy comes out at 0.3389 eV/atom. As for the energy above the most stable polymorph in this dataset: 192 meV/atom. The calculation puts the density of states at the Fermi level at 1.1 states/eV/f.u.


Entry 3:
A plane-wave DFT calculation with GGA-PBE was carried out for an optimized crystal structure of CsC.

The structure in extended XYZ format:
```
6
Lattice="6.6062 0.0000 0.0000 0.0000 6.6062 0.0000 0.0000 0.0000 6.6062" Properties=species:S:1:pos:R:3 pbc="T T T"
Cs 0.0000 3.3031 3.3031
Cs 3.3031 3.3031 0.0000
Cs 3.3031 0.0000 3.3031
C 3.3031 0.0000 0.0000
C 0.0000 3.3031 0.0000
C 0.0000 0.0000 3.3031
```

Summary:
For the formation energy, the calculation gives 2.560 eV per atom. For the magnetization, the calculation gives 1.498 μB per atom. The calculation puts the total energy at -2.479 eV/atom. Its symmetry is Pm-3m (221). As for the energy above the most stable polymorph in this dataset: 2251 meV/atom. The calculation puts the density of states at the Fermi level at 0.9 states/eV/f.u.


Entry 4:
A plane-wave DFT calculation with GGA-PBE was carried out for an optimized crystal structure of TaIn2Ir.

The structure in extended XYZ format:
```
4
Lattice="6.3640 0.3927 0.1810 5.5149 3.2001 0.1810 1.6333 0.4940 4.4690" Properties=species:S:1:pos:R:3 pbc="T T T"
In 11.6976 3.5379 0.4398
In 10.5264 3.1837 3.4609
Ir 6.9484 2.1015 2.3456
Ta 2.9748 0.8997 1.3621
```

Summary:
For the formation energy, the calculation gives 0.086 eV per atom. For the magnetization, the calculation gives 0.000 μB per atom. The calculation puts the total energy at -6.461 eV/atom. Its symmetry is Cm (8). As for the energy above the most stable polymorph in this dataset: 214 meV/atom. The calculation puts the density of states at the Fermi level at 3.1 states/eV/f.u.


Entry 5:
A plane-wave DFT calculation with GGA-PBE was carried out for an optimized crystal structure of Ti3NiMo2.

The structure in extended XYZ format:
```
6
Lattice="3.1435 0.0000 0.0000 0.0000 3.1435 0.0000 0.0000 0.0000 9.2362" Properties=species:S:1:pos:R:3 pbc="T T T"
Ni 1.5717 1.5717 4.6181
Mo 1.5717 1.5717 7.6327
Mo 1.5717 1.5717 1.6035
Ti 0.0000 0.0000 0.0000
Ti 0.0000 0.0000 3.1218
Ti 0.0000 0.0000 6.1145
```

Summary:
For the formation energy, the calculation gives -0.204 eV per atom. For the magnetization, the calculation gives 0.000 μB per atom. The calculation puts the total energy at -8.725 eV/atom. Its symmetry is P4/mmm (123). The calculation puts the density of states at the Fermi level at 6.9 states/eV/f.u.


Entry 6:
A plane-wave DFT calculation with GGA-PBE was carried out for an optimized crystal structure of RuSN2O.

The structure in extended XYZ format:
```
5
Lattice="3.7109 0.0000 0.0000 0.0000 3.7109 0.0000 0.0000 0.0000 3.4227" Properties=species:S:1:pos:R:3 pbc="T T T"
N 0.0000 1.8555 0.0000
N 1.8555 0.0000 0.0000
S 0.0000 0.0000 0.0000
Ru 1.8555 1.8555 1.7113
O 0.0000 0.0000 1.7113
```

Summary:
For the magnetization, the calculation gives 0.329 μB per atom. The calculation puts the total energy at -5.461 eV/atom. Its symmetry is P4/mmm (123). The raw formation energy comes out at 1.5417 eV/atom. The calculation puts the density of states at the Fermi level at 3.6 states/eV/f.u.


Entry 7:
A plane-wave DFT calculation with GGA-PBE was carried out for an optimized crystal structure of Zn2Pb2Se.

The structure in extended XYZ format:
```
10
Lattice="7.0288 0.0000 0.0000 0.0000 7.0288 0.0000 0.0000 0.0000 4.8938" Properties=species:S:1:pos:R:3 pbc="T T T"
Pb 5.8193 2.3049 2.4469
Pb 4.7239 5.8193 2.4469
Pb 2.3049 1.2095 2.4469
Pb 1.2095 4.7239 2.4469
Zn 4.4189 0.9045 0.0000
Zn 0.9045 2.6099 0.0000
Zn 6.1243 4.4189 0.0000
Zn 2.6099 6.1243 0.0000
Se 0.0000 0.0000 0.0000
Se 3.5144 3.5144 0.0000
```

Summary:
For the magnetization, the calculation gives 0.000 μB per atom. The calculation puts the total energy at -2.661 eV/atom. Its symmetry is P4/mbm (127). The raw formation energy comes out at 0.0284 eV/atom. As for the energy above the most stable polymorph in this dataset: 0 meV/atom. The calculation puts the density of states at the Fermi level at 1.2 states/eV/f.u.


Entry 8:
A plane-wave DFT calculation with GGA-PBE was carried out for an optimized crystal structure of Pa3Ta4N12.

The structure in extended XYZ format:
```
19
Lattice="-5.0023 -2.2168 4.2246 6.1530 -1.8758 2.5310 -0.2855 6.8891 -0.4934" Properties=species:S:1:pos:R:3 pbc="T T T"
N 0.7221 2.5224 1.4051
N 4.2757 0.4207 2.2867
N -0.7079 3.0254 3.7462
N -3.4105 2.3758 3.9756
N 2.2654 2.1970 3.7053
N -1.1454 4.5813 1.1778
N 1.5732 -0.2289 2.5161
N -2.0876 -1.6319 4.0825
N 0.1432 0.2741 4.8572
N 2.0107 -1.7849 5.0845
N -1.4001 0.5994 2.5570
N 2.9528 4.4283 2.1797
Pa -2.6439 2.3361 1.8656
Pa 0.5754 -2.0463 3.3778
Pa 2.9338 2.5066 1.0188
Ta 3.0765 -0.9379 1.2655
Ta -0.1427 3.4445 -0.2467
Ta 0.4326 1.3982 3.1311
Ta -2.5011 -1.1084 2.1123
```

Summary:
For the magnetization, the calculation gives 0.000 μB per atom. The calculation puts the total energy at -10.427 eV/atom. Its symmetry is Im-3 (204). The raw formation energy comes out at -1.1738 eV/atom. The calculation puts the density of states at the Fermi level at 7.8 states/eV/f.u.


Entry 9:
A plane-wave DFT calculation with GGA-PBE was carried out for an optimized crystal structure of Cu2SnPd9.

The structure in extended XYZ format:
```
12
Lattice="3.9633 0.0000 0.0000 0.0000 3.9633 0.0000 0.0000 0.0000 11.6991" Properties=species:S:1:pos:R:3 pbc="T T T"
Pd 1.9816 0.0000 5.8496
Pd 0.0000 1.9816 2.0494
Pd 1.9816 0.0000 2.0494
Pd 0.0000 1.9816 5.8496
Pd 0.0000 1.9816 9.6498
Pd 1.9816 1.9816 7.7425
Pd 1.9816 0.0000 9.6498
Pd 1.9816 1.9816 3.9566
Pd 1.9816 1.9816 0.0000
Cu 0.0000 0.0000 3.9636
Cu 0.0000 0.0000 7.7355
Sn 0.0000 0.0000 0.0000
```

Summary:
For the formation energy, the calculation gives -0.186 eV per atom. For the magnetization, the calculation gives 0.000 μB per atom. The calculation puts the total energy at -5.097 eV/atom. Its symmetry is P4/mmm (123). The calculation puts the density of states at the Fermi level at 14.6 states/eV/f.u.


Entry 10:
A plane-wave DFT calculation with GGA-PBE was carried out for an optimized crystal structure of Tb6HoAl.

The structure in extended XYZ format:
```
8
Lattice="9.1677 0.0084 0.2917 4.5867 7.2219 -0.1375 4.4674 2.3062 3.7518" Properties=species:S:1:pos:R:3 pbc="T T T"
Tb 6.9530 2.1149 0.7583
Tb 5.7589 4.9499 2.7982
Tb 14.6044 8.6220 2.7815
Tb 11.2688 7.4217 3.1477
Tb 12.4629 4.5866 1.1078
Tb 3.6174 0.9146 1.1245
Ho 9.1109 4.7683 1.9530
Al 0.0000 0.0000 0.0000
```

Summary:
For the formation energy, the calculation gives 0.038 eV per atom. For the magnetization, the calculation gives 0.000 μB per atom. The calculation puts the total energy at -4.474 eV/atom. Its symmetry is R-3 (148). As for the energy above the most stable polymorph in this dataset: 106 meV/atom. The calculation puts the density of states at the Fermi level at 11.3 states/eV/f.u.